Record 1
TlNiAs2: PBEsol geometry, SCAN.

Uncorrected energy, eV per atom: -31.610
Polymorph energy (0 for the lowest one), kJ/mol of atoms: 72.0
Magnetic moment, μB per cell: 0.0

CIF file:
```
data_TlNiAs2
_cell_length_a 6.625
_cell_length_b 6.625
_cell_length_c 6.625
_cell_angle_alpha 90.00
_cell_angle_beta 90.00
_cell_angle_gamma 90.00
_space_group_name_H-M_alt 'F m -3 m'
_space_group_IT_number 225
_space_group_name_Hall '-F 4 2 3'
loop_
_atom_site_label
_atom_site_fract_x
_atom_site_fract_y
_atom_site_fract_z
Tl1 0.000 0.000 0.000
Ni1 0.000 0.000 0.500
As1 0.250 0.250 0.250
```



Record 2
TmNiAs: PBEsol geometry, SCAN.

Uncorrected energy, eV per atom: -30.528
Magnetic moment, μB per cell: 0.0

CIF file:
```
data_TmNiAs
_cell_length_a 3.9677
_cell_length_b 3.9677
_cell_length_c 3.7709
_cell_angle_alpha 90.00
_cell_angle_beta 90.00
_cell_angle_gamma 120.00
_space_group_name_H-M_alt 'P -6 m 2'
_space_group_IT_number 187
_space_group_name_Hall 'P -6 2'
loop_
_atom_site_label
_atom_site_fract_x
_atom_site_fract_y
_atom_site_fract_z
Tm1 0.0000 0.0000 0.0000
Ni1 0.6667 0.3333 0.5000
As1 0.3333 0.6667 0.5000
```



Record 3
Tm2NiAs2: PBEsol geometry, SCAN.

Uncorrected energy, eV per atom: -33.385
Magnetic moment, μB per cell: 0.0

CIF file:
```
data_Tm2NiAs2
_cell_length_a 4.0165
_cell_length_b 4.0165
_cell_length_c 13.7749
_cell_angle_alpha 90.00
_cell_angle_beta 90.00
_cell_angle_gamma 120.00
_space_group_name_H-M_alt 'P 63/m m c'
_space_group_IT_number 194
_space_group_name_Hall '-P 6c 2c'
loop_
_atom_site_label
_atom_site_fract_x
_atom_site_fract_y
_atom_site_fract_z
Tm1 0.3333 0.6667 0.1171
Ni1 0.0000 0.0000 0.2500
As1 0.0000 0.0000 0.0000
As2 0.3333 0.6667 0.7500
```



Record 4
TmNi4As2: PBEsol geometry, SCAN.

Uncorrected energy, eV per atom: -23.087
Magnetic moment, μB per cell: 0.0

CIF file:
```
data_TmNi4As2
_cell_length_a 7.094
_cell_length_b 7.094
_cell_length_c 3.726
_cell_angle_alpha 90.00
_cell_angle_beta 90.00
_cell_angle_gamma 90.00
_space_group_name_H-M_alt 'P 42/m n m'
_space_group_IT_number 136
_space_group_name_Hall '-P 4n 2n'
loop_
_atom_site_label
_atom_site_fract_x
_atom_site_fract_y
_atom_site_fract_z
Tm1 0.000 0.000 0.000
Ni1 0.089 0.346 0.500
As1 0.218 0.782 0.500
```



Record 5
TmNiAs: PBEsol geometry, SCAN.

Uncorrected energy, eV per atom: -30.538
Magnetic moment, μB per cell: 0.0

CIF file:
```
data_TmNiAs
_cell_length_a 3.9906
_cell_length_b 3.9906
_cell_length_c 14.7648
_cell_angle_alpha 90.00
_cell_angle_beta 90.00
_cell_angle_gamma 120.00
_space_group_name_H-M_alt 'P 63/m m c'
_space_group_IT_number 194
_space_group_name_Hall '-P 6c 2c'
loop_
_atom_site_label
_atom_site_fract_x
_atom_site_fract_y
_atom_site_fract_z
Tm1 0.0000 0.0000 0.0000
Tm2 0.0000 0.0000 0.2500
Ni1 0.3333 0.6667 0.1360
As1 0.3333 0.6667 0.6198
```



Record 6
UNiAs: PBEsol geometry, SCAN.

Uncorrected energy, eV per atom: -47.108
Magnetic moment, μB per cell: 5.8

CIF file:
```
data_UNiAs
_cell_length_a 3.9806
_cell_length_b 3.9806
_cell_length_c 7.5287
_cell_angle_alpha 90.00
_cell_angle_beta 90.00
_cell_angle_gamma 120.00
_space_group_name_H-M_alt 'P 63/m m c'
_space_group_IT_number 194
_space_group_name_Hall '-P 6c 2c'
loop_
_atom_site_label
_atom_site_fract_x
_atom_site_fract_y
_atom_site_fract_z
U1 0.0000 0.0000 0.0000
Ni1 0.3333 0.6667 0.2500
As1 0.3333 0.6667 0.7500
```



Record 7
NiAsW3: PBEsol geometry, SCAN.

Uncorrected energy, eV per atom: -47.073
Magnetic moment, μB per cell: 1.5

CIF file:
```
data_NiAsW3
_cell_length_a 4.512
_cell_length_b 4.512
_cell_length_c 4.512
_cell_angle_alpha 90.00
_cell_angle_beta 90.00
_cell_angle_gamma 90.00
_space_group_name_H-M_alt 'P m -3 m'
_space_group_IT_number 221
_space_group_name_Hall '-P 4 2 3'
loop_
_atom_site_label
_atom_site_fract_x
_atom_site_fract_y
_atom_site_fract_z
Ni1 0.000 0.000 0.000
As1 0.500 0.500 0.500
W1 0.000 0.500 0.500
```



Record 8
NiAsW: PBEsol geometry, SCAN.

Uncorrected energy, eV per atom: -35.098
Polymorph energy (0 for the lowest one), kJ/mol of atoms: 0.0
Magnetic moment, μB per cell: 0.0

CIF file:
```
data_NiAsW
_cell_length_a 2.864
_cell_length_b 3.186
_cell_length_c 8.898
_cell_angle_alpha 90.00
_cell_angle_beta 90.00
_cell_angle_gamma 90.00
_space_group_name_H-M_alt 'I m m 2'
_space_group_IT_number 44
_space_group_name_Hall 'I 2 -2'
loop_
_atom_site_label
_atom_site_fract_x
_atom_site_fract_y
_atom_site_fract_z
Ni1 0.000 0.000 0.000
As1 0.000 0.000 0.357
W1 0.000 0.000 0.673
```



Record 9
NiAsW: PBEsol geometry, SCAN.

Uncorrected energy, eV per atom: -34.742
Polymorph energy (0 for the lowest one), kJ/mol of atoms: 34.4
Magnetic moment, μB per cell: 0.0

CIF file:
```
data_NiAsW
_cell_length_a 5.650
_cell_length_b 5.650
_cell_length_c 5.650
_cell_angle_alpha 90.00
_cell_angle_beta 90.00
_cell_angle_gamma 90.00
_space_group_name_H-M_alt 'F -4 3 m'
_space_group_IT_number 216
_space_group_name_Hall 'F -4 2 3'
loop_
_atom_site_label
_atom_site_fract_x
_atom_site_fract_y
_atom_site_fract_z
Ni1 0.000 0.000 0.000
As1 0.250 0.250 0.750
W1 0.250 0.250 0.250
```



Record 10
NiAsW: PBEsol geometry, SCAN.

Uncorrected energy, eV per atom: -34.838
Polymorph energy (0 for the lowest one), kJ/mol of atoms: 25.1
Magnetic moment, μB per cell: 0.0

CIF file:
```
data_NiAsW
_cell_length_a 5.802
_cell_length_b 5.802
_cell_length_c 5.802
_cell_angle_alpha 90.00
_cell_angle_beta 90.00
_cell_angle_gamma 90.00
_space_group_name_H-M_alt 'F -4 3 m'
_space_group_IT_number 216
_space_group_name_Hall 'F -4 2 3'
loop_
_atom_site_label
_atom_site_fract_x
_atom_site_fract_y
_atom_site_fract_z
Ni1 0.000 0.000 0.000
As1 0.000 0.000 0.500
W1 0.250 0.250 0.250
```



Record 11
NiAs3W: PBEsol geometry, SCAN.

Uncorrected energy, eV per atom: -28.213
Magnetic moment, μB per cell: 2.3

CIF file:
```
data_NiAs3W
_cell_length_a 4.463
_cell_length_b 4.463
_cell_length_c 4.463
_cell_angle_alpha 90.00
_cell_angle_beta 90.00
_cell_angle_gamma 90.00
_space_group_name_H-M_alt 'P m -3 m'
_space_group_IT_number 221
_space_group_name_Hall '-P 4 2 3'
loop_
_atom_site_label
_atom_site_fract_x
_atom_site_fract_y
_atom_site_fract_z
Ni1 0.000 0.000 0.000
As1 0.000 0.000 0.500
W1 0.500 0.500 0.500
```



Record 12
YNi4As2: PBEsol geometry, SCAN.

Uncorrected energy, eV per atom: -19.666
Magnetic moment, μB per cell: 0.0

CIF file:
```
data_YNi4As2
_cell_length_a 7.143
_cell_length_b 7.143
_cell_length_c 3.729
_cell_angle_alpha 90.00
_cell_angle_beta 90.00
_cell_angle_gamma 90.00
_space_group_name_H-M_alt 'P 42/m n m'
_space_group_IT_number 136
_space_group_name_Hall '-P 4n 2n'
loop_
_atom_site_label
_atom_site_fract_x
_atom_site_fract_y
_atom_site_fract_z
Y1 0.000 0.000 0.000
Ni1 0.089 0.347 0.500
As1 0.218 0.782 0.500
```



Record 13
YNi2As: PBEsol geometry, SCAN.

Uncorrected energy, eV per atom: -20.768
Magnetic moment, μB per cell: 0.0

CIF file:
```
data_YNi2As
_cell_length_a 3.9694
_cell_length_b 3.9694
_cell_length_c 14.2015
_cell_angle_alpha 90.00
_cell_angle_beta 90.00
_cell_angle_gamma 120.00
_space_group_name_H-M_alt 'R 3 m'
_space_group_IT_number 160
_space_group_name_Hall 'R 3 -2"'
loop_
_atom_site_label
_atom_site_fract_x
_atom_site_fract_y
_atom_site_fract_z
Y1 0.0000 0.0000 0.0000
Ni1 0.0000 0.0000 0.2077
Ni2 0.0000 0.0000 0.5015
As1 0.0000 0.0000 0.7963
```



Record 14
YNiAs: PBEsol geometry, SCAN.

Uncorrected energy, eV per atom: -22.580
Magnetic moment, μB per cell: 0.0

CIF file:
```
data_YNiAs
_cell_length_a 3.9928
_cell_length_b 3.9928
_cell_length_c 3.8551
_cell_angle_alpha 90.00
_cell_angle_beta 90.00
_cell_angle_gamma 120.00
_space_group_name_H-M_alt 'P -6 m 2'
_space_group_IT_number 187
_space_group_name_Hall 'P -6 2'
loop_
_atom_site_label
_atom_site_fract_x
_atom_site_fract_y
_atom_site_fract_z
Y1 0.0000 0.0000 0.0000
Ni1 0.6667 0.3333 0.5000
As1 0.3333 0.6667 0.5000
```